(1)
Here is Ba2Mg9In3 after structural relaxation from the Alexandria database. Energies are from PBE.

Cell and atoms, written as POSCAR:
```
Ba2Mg9In3
1.0
7.8076 -4.4842 0.0000
7.8076 4.4842 0.0000
-5.1226 0.0000 10.7121
Ba Mg In
4 18 6
direct
0.0845 0.2520 0.2466
0.2520 0.0845 0.7466
0.7480 0.9155 0.2534
0.9155 0.7480 0.7534
0.0435 0.8472 0.0904
0.1528 0.9565 0.4096
0.2053 0.3636 0.5811
0.2316 0.5740 0.2577
0.3229 0.4859 0.9522
0.3636 0.2053 0.0811
0.3806 0.6194 0.7500
0.4260 0.7684 0.2423
0.4859 0.3229 0.4522
0.5141 0.6771 0.5478
0.5740 0.2316 0.7577
0.6194 0.3806 0.2500
0.6364 0.7947 0.9189
0.6771 0.5141 0.0478
0.7684 0.4260 0.7423
0.7947 0.6364 0.4189
0.8472 0.0435 0.5904
0.9565 0.1528 0.9096
0.0000 0.5000 0.0000
0.1383 0.6829 0.5013
0.3171 0.8617 0.9987
0.5000 0.0000 0.5000
0.6829 0.1383 0.0013
0.8617 0.3171 0.4987
```

Calculated values
D(E_F): 0.3442 states/eV per atom
E: -2.082 eV per atom
Crystal system: monoclinic

(2)
Here is Rb2CdNi2 after structural relaxation from the Alexandria database. Energies are from PBE.

Cell and atoms, written as POSCAR:
```
Rb2CdNi2
1.0
9.8907 0.0000 0.0000
0.0000 9.8907 0.0000
0.0000 0.0000 2.9881
Rb Cd Ni
4 2 4
direct
0.1355 0.3645 0.0000
0.3645 0.8645 0.0000
0.6355 0.1355 0.0000
0.8645 0.6355 0.0000
0.0000 0.0000 0.0000
0.5000 0.5000 0.0000
0.1662 0.6662 0.5000
0.3338 0.1662 0.5000
0.6662 0.8338 0.5000
0.8338 0.3338 0.5000
```

Calculated values
D(E_F): 1.5790 states/eV per atom
E: -1.880 eV per atom
Crystal system: tetragonal

(3)
Here is Ac2CdHg8 after structural relaxation from the Alexandria database. Energies are from PBE.

Cell and atoms, written as POSCAR:
```
Ac2CdHg8
1.0
8.6737 -2.5444 0.0000
8.6737 2.5444 0.0000
-3.4844 0.0000 6.9684
Ac Cd Hg
2 1 8
direct
0.2143 0.2143 0.2132
0.7857 0.7857 0.7868
0.5000 0.5000 0.5000
0.0007 0.0007 0.2027
0.1413 0.1413 0.6425
0.3769 0.3769 0.6679
0.3785 0.3785 0.0860
0.6215 0.6215 0.9140
0.6231 0.6231 0.3321
0.8587 0.8587 0.3575
0.9993 0.9993 0.7973
```

Calculated values
D(E_F): 0.3457 states/eV per atom
E: -1.331 eV per atom
Crystal system: monoclinic

(4)
Here is BaBePbC2 after structural relaxation from the Alexandria database. Energies are from PBE.

Cell and atoms, written as POSCAR:
```
BaBePbC2
1.0
5.1157 0.0000 0.0000
0.0000 5.1157 0.0000
0.0000 0.0000 7.1554
Ba Be Pb C
1 1 1 2
direct
0.0000 0.0000 0.0000
0.5000 0.5000 0.5000
0.0000 0.0000 0.5000
0.0000 0.5000 0.0000
0.5000 0.0000 0.0000
```

Calculated values
D(E_F): 1.0597 states/eV per atom
E: -2.568 eV per atom
Crystal system: tetragonal

(5)
Here is LiErZr2N4 after structural relaxation from the Alexandria database. Energies are from PBE.

Cell and atoms, written as POSCAR:
```
LiErZr2N4
1.0
1.6294 -5.3444 0.0000
1.6294 5.3444 0.0000
0.0000 0.0000 11.0433
Li Er Zr N
2 2 4 8
direct
0.1542 0.8458 0.7500
0.8458 0.1542 0.2500
0.1079 0.8921 0.2500
0.8921 0.1079 0.7500
0.3669 0.6331 0.0589
0.3669 0.6331 0.4411
0.6331 0.3669 0.5589
0.6331 0.3669 0.9411
0.0000 0.0000 0.0000
0.0000 0.0000 0.5000
0.2653 0.7347 0.6152
0.2653 0.7347 0.8848
0.4517 0.5483 0.2500
0.5483 0.4517 0.7500
0.7347 0.2653 0.1152
0.7347 0.2653 0.3848
```

Calculated values
Formation energy from raw total energies: -1.44 eV/atom
D(E_F): 0.0390 states/eV per atom
E: -8.551 eV per atom
Crystal system: orthorhombic

(6)
Here is Cu2Os2C after structural relaxation from the Alexandria database. Energies are from PBE.

Cell and atoms, written as POSCAR:
```
Cu2Os2C
1.0
3.0128 0.0000 0.0000
0.0000 3.0128 0.0000
0.0000 0.0000 13.6984
Cu Os C
4 4 2
direct
0.0000 0.5000 0.2500
0.0000 0.5000 0.7500
0.5000 0.0000 0.2500
0.5000 0.0000 0.7500
0.0000 0.0000 0.0890
0.0000 0.0000 0.9110
0.5000 0.5000 0.4110
0.5000 0.5000 0.5890
0.0000 0.0000 0.5000
0.5000 0.5000 0.0000
```

Calculated values
D(E_F): 1.3118 states/eV per atom
E: -6.493 eV per atom
Crystal system: tetragonal

(7)
Here is Ba2Pd3 after structural relaxation from the Alexandria database. Energies are from PBE.

Cell and atoms, written as POSCAR:
```
Ba2Pd3
1.0
4.8453 0.0000 0.0000
0.0000 5.6995 0.0000
0.0000 0.0000 9.5617
Ba Pd
4 6
direct
0.0000 0.0000 0.1945
0.0000 0.0000 0.8055
0.5000 0.5000 0.3055
0.5000 0.5000 0.6945
0.0000 0.2511 0.5000
0.0000 0.5000 0.0000
0.0000 0.7489 0.5000
0.5000 0.0000 0.5000
0.5000 0.2489 0.0000
0.5000 0.7511 0.0000
```

Calculated values
D(E_F): 0.3233 states/eV per atom
E: -4.421 eV per atom
Crystal system: orthorhombic

(8)
Here is AgSnGeO5 after structural relaxation from the Alexandria database. Energies are from PBE.

Cell and atoms, written as POSCAR:
```
AgSnGeO5
1.0
3.3014 -4.5765 0.0000
3.3014 4.5765 0.0000
-3.1002 0.0000 6.9916
Ag Sn Ge O
2 2 2 10
direct
0.1775 0.8225 0.7500
0.8225 0.1775 0.2500
0.5000 0.5000 0.0000
0.5000 0.5000 0.5000
0.1862 0.8138 0.2500
0.8138 0.1862 0.7500
0.1090 0.2474 0.9290
0.1678 0.5610 0.3583
0.2474 0.1090 0.4290
0.4128 0.5872 0.7500
0.4390 0.8322 0.1417
0.5610 0.1678 0.8583
0.5872 0.4128 0.2500
0.7526 0.8910 0.5710
0.8322 0.4390 0.6417
0.8910 0.7526 0.0710
```

Calculated values
Formation energy from raw total energies: -1.18 eV/atom
D(E_F): 0.1481 states/eV per atom
E: -5.712 eV per atom
Crystal system: monoclinic

no.,M_tot (μB per atom)
1,0.000
2,0.031
3,0.000
4,0.619
5,0.000
6,0.000
7,0.000
8,0.124